KOsRu2: relaxed, GGA-PBEsol.

Structure (POSCAR):
```
KOsRu2
1.0
-2.425 -0.424 -1.181
-1.833 -1.635 1.194
-5.209 7.183 4.962
Os K Ru
1 1 2
Direct
0.000 0.000 0.000
0.500 0.500 0.500
0.737 0.737 0.790
0.263 0.263 0.210
```

V = 16.2 A^3/atom
size of the total moment = 0.0 μB per cell
formation energy = 0.76 eV per atom
symmetry = R-3m
E = -7.664 eV/atom